No. 1
First-principles (GGA-PBE) data for a geometry-optimized AgOs structure, as listed in Alexandria via LeMat-Bulk.

Values from the calculation:
Energy relative to the lowest polymorph listed for this composition = 0.058 eV per atom
Formation energy = 0.37 eV/atom
M_tot = 0.000 Bohr magnetons per cell
DOS at the Fermi energy = 3.51 states/eV/cell

a = 2.8132 Å, b = 2.8132 Å, c = 8.1847 Å
α = 90.00°, β = 90.00°, γ = 90.00°
Last column: nearest neighbours and their distance in Å.
Sites, in units of the cell vectors:
Ag 0.2500 0.2500 0.1343  8 Ag 2.81-2.96, 4 Os 2.95
Ag 0.7500 0.7500 0.8657  8 Ag 2.81-2.96, 4 Os 2.95
Os 0.2500 0.2500 0.5991  8 Os 2.57-2.81
Os 0.7500 0.7500 0.4009  8 Os 2.57-2.81

No. 2
First-principles (GGA-PBE) data for a geometry-optimized AgOs4 structure, as listed in Alexandria via LeMat-Bulk.

Values from the calculation:
Energy relative to the lowest polymorph listed for this composition = 0.209 eV per atom
Formation energy = 0.76 eV/atom
M_tot = 0.002 Bohr magnetons per cell
DOS at the Fermi energy = 5.85 states/eV/cell

a = 6.2952 Å, b = 6.2952 Å, c = 6.2952 Å
α = 143.92°, β = 143.92°, γ = 51.95°
Last column: nearest neighbours and their distance in Å.
Sites, in units of the cell vectors:
Ag 0.0000 0.0000 0.0000  8 Os 3.01
Os 0.2500 0.7500 0.5000  8 Os 2.54-2.76
Os 0.3932 0.3932 0.0000  5 Os 2.42-2.54
Os 0.6068 0.6068 0.0000  5 Os 2.42-2.54
Os 0.7500 0.2500 0.5000  8 Os 2.54-2.76

No. 3
First-principles (GGA-PBE) data for a geometry-optimized AgOs2 structure, as listed in Alexandria via LeMat-Bulk.

Values from the calculation:
Energy relative to the lowest polymorph listed for this composition = 0.824 eV per atom
Formation energy = 1.21 eV/atom
M_tot = 0.000 Bohr magnetons per cell
DOS at the Fermi energy = 5.88 states/eV/cell

a = 8.4921 Å, b = 8.4921 Å, c = 8.4921 Å
α = 155.21°, β = 155.21°, γ = 35.35°
Last column: nearest neighbours and their distance in Å.
Sites, in units of the cell vectors:
Ag 0.3750 0.6250 0.7500  8 Os 2.87
Ag 0.6250 0.3750 0.2500  8 Os 2.87
Os 0.0477 0.7977 0.2500  3 Os 2.39-2.50
Os 0.2023 0.9523 0.2500  3 Os 2.39-2.50
Os 0.7977 0.0477 0.7500  3 Os 2.39-2.50
Os 0.9523 0.2023 0.7500  3 Os 2.39-2.50

No. 4
First-principles (GGA-PBE) data for a geometry-optimized AgOs4 structure, as listed in Alexandria via LeMat-Bulk.

Values from the calculation:
Energy relative to the lowest polymorph listed for this composition = 0.000 eV per atom
Formation energy = 0.55 eV/atom
M_tot = 0.000 Bohr magnetons per cell
DOS at the Fermi energy = 4.29 states/eV/cell

a = 4.7779 Å, b = 4.7779 Å, c = 4.7779 Å
α = 99.60°, β = 99.60°, γ = 131.79°
Last column: nearest neighbours and their distance in Å.
Sites, in units of the cell vectors:
Ag 0.0000 0.0000 0.0000  12 Os 2.75-2.84
Os 0.1974 0.4154 0.6128  9 Os 2.65-2.90, 3 Ag 2.75-2.84
Os 0.4154 0.8026 0.2180  9 Os 2.65-2.90, 3 Ag 2.75-2.84
Os 0.5846 0.1974 0.7820  9 Os 2.65-2.90, 3 Ag 2.75-2.84
Os 0.8026 0.5846 0.3872  9 Os 2.65-2.90, 3 Ag 2.75-2.84

No. 5
First-principles (GGA-PBE) data for a geometry-optimized AgOs2 structure, as listed in Alexandria via LeMat-Bulk.

Values from the calculation:
Energy relative to the lowest polymorph listed for this composition = 0.053 eV per atom
Formation energy = 0.44 eV/atom
M_tot = 0.000 Bohr magnetons per cell
DOS at the Fermi energy = 4.61 states/eV/cell

a = 5.2542 Å, b = 5.2542 Å, c = 6.8296 Å
α = 103.68°, β = 103.68°, γ = 30.41°
Last column: nearest neighbours and their distance in Å.
Sites, in units of the cell vectors:
Ag 0.1367 0.1367 0.0264  5 Ag 2.71-2.78, 7 Os 2.92-2.94
Ag 0.8633 0.8633 0.9736  5 Ag 2.71-2.78, 7 Os 2.92-2.94
Os 0.1905 0.1905 0.6236  9 Os 2.64-2.78, 3 Ag 2.93-2.94
Os 0.4706 0.4706 0.6693  8 Os 2.53-2.78
Os 0.5294 0.5294 0.3307  8 Os 2.53-2.78
Os 0.8095 0.8095 0.3764  9 Os 2.64-2.78, 3 Ag 2.93-2.94

No. 6
First-principles (GGA-PBE) data for a geometry-optimized Ag2Os structure, as listed in Alexandria via LeMat-Bulk.

Values from the calculation:
Energy relative to the lowest polymorph listed for this composition = 0.662 eV per atom
Formation energy = 1.11 eV/atom
M_tot = 3.989 Bohr magnetons per cell
DOS at the Fermi energy = 8.69 states/eV/cell

a = 5.0998 Å, b = 5.0998 Å, c = 9.3040 Å
α = 90.00°, β = 90.00°, γ = 120.00°
Last column: nearest neighbours and their distance in Å.
Sites, in units of the cell vectors:
Ag 0.0000 0.0000 0.0000  6 Ag 2.76, 6 Os 2.95
Ag 0.0000 0.0000 0.5000  6 Ag 2.76, 6 Os 2.95
Ag 0.1683 0.3366 0.2500  6 Ag 2.52-2.76
Ag 0.1683 0.8317 0.2500  6 Ag 2.52-2.76
Ag 0.3366 0.1683 0.7500  6 Ag 2.52-2.76
Ag 0.6634 0.8317 0.2500  6 Ag 2.52-2.76
Ag 0.8317 0.1683 0.7500  6 Ag 2.52-2.76
Ag 0.8317 0.6634 0.7500  6 Ag 2.52-2.76
Os 0.3333 0.6667 0.5189  6 Ag 2.90-2.95, 3 Os 2.97
Os 0.3333 0.6667 0.9811  6 Ag 2.90-2.95, 3 Os 2.97
Os 0.6667 0.3333 0.0189  6 Ag 2.90-2.95, 3 Os 2.97
Os 0.6667 0.3333 0.4811  6 Ag 2.90-2.95, 3 Os 2.97

No. 7
First-principles (GGA-PBE) data for a geometry-optimized AgOs2 structure, as listed in Alexandria via LeMat-Bulk.

Values from the calculation:
Energy relative to the lowest polymorph listed for this composition = 0.546 eV per atom
Formation energy = 0.94 eV/atom
M_tot = 0.000 Bohr magnetons per cell
DOS at the Fermi energy = 6.61 states/eV/cell

a = 8.7238 Å, b = 8.7238 Å, c = 8.7238 Å
α = 162.07°, β = 150.16°, γ = 35.03°
Last column: nearest neighbours and their distance in Å.
Sites, in units of the cell vectors:
Ag 0.3797 0.1297 0.2500  2 Ag 2.72, 4 Os 2.79
Ag 0.6203 0.8703 0.7500  2 Ag 2.72, 4 Os 2.79
Os 0.0633 0.3133 0.7500  5 Os 2.51-2.72, 4 Ag 2.79
Os 0.2155 0.4655 0.7500  5 Os 2.52-2.72
Os 0.7845 0.5345 0.2500  5 Os 2.52-2.72
Os 0.9367 0.6867 0.2500  5 Os 2.51-2.72, 4 Ag 2.79

No. 8
First-principles (GGA-PBE) data for a geometry-optimized AgOs structure, as listed in Alexandria via LeMat-Bulk.

Values from the calculation:
Energy relative to the lowest polymorph listed for this composition = 0.547 eV per atom
Formation energy = 0.86 eV/atom
M_tot = 0.001 Bohr magnetons per cell
DOS at the Fermi energy = 5.17 states/eV/cell

a = 2.7056 Å, b = 2.7056 Å, c = 10.4670 Å
α = 90.00°, β = 90.00°, γ = 120.00°
Last column: nearest neighbours and their distance in Å.
Sites, in units of the cell vectors:
Ag 0.3333 0.6667 0.0000  6 Ag 2.71, 4 Os 2.75-2.93
Ag 0.6667 0.3333 0.5000  6 Ag 2.71, 4 Os 2.75-2.93
Os 0.3333 0.6667 0.2632  6 Os 2.71, 4 Ag 2.75-2.93
Os 0.6667 0.3333 0.7632  6 Os 2.71, 4 Ag 2.75-2.93